Computed, not measured: SbW2C after structural relaxation at the PBE level of DFT.

```
4
Lattice="-4.046 -1.640 0.505 -3.392 2.700 0.719 -3.025 0.610 -3.129" Properties=species:S:1:pos:R:3 pbc="T T T"
Sb -5.231 0.835 -0.952
C 0.000 0.000 0.000
W -2.616 0.417 -0.476
W -7.847 1.252 -1.428
```

Computed properties:
Energy above the most stable polymorph in this dataset, kJ/mol of atoms: 57.4
Crystal system: cubic
SG: Fm-3m (225)

***

Computed, not measured: Sb2WC after structural relaxation at the PBE level of DFT.

```
8
Lattice="6.065 0.000 0.000 0.000 6.065 0.000 3.032 3.032 4.572" Properties=species:S:1:pos:R:3 pbc="T T T"
Sb 4.152 1.516 1.143
Sb 1.913 4.549 1.143
Sb 4.549 4.946 3.429
Sb 7.581 7.184 3.429
C 3.032 3.032 0.000
C 3.032 6.065 2.286
W 0.000 0.000 0.000
W 6.065 3.032 2.286
```

Computed properties:
Crystal system: tetragonal
SG: I-42d (122)

***

Computed, not measured: SbWC3 after structural relaxation at the PBE level of DFT.

```
5
Lattice="-0.201 -2.671 -3.165 3.709 1.295 -1.328 1.844 -2.896 2.326" Properties=species:S:1:pos:R:3 pbc="T T T"
Sb 2.676 -2.136 -1.084
C 1.854 0.647 -0.664
C 0.922 -1.448 1.163
C -0.100 -1.335 -1.583
W 0.000 0.000 0.000
```

Computed properties:
Crystal system: cubic
SG: Pm-3m (221)

***

Number 1: volume 15.0 Å³ per atom, theoretical density 13.9 g/cm³, total energy -8.294 eV per atom. Number 2: volume 21.0 Å³ per atom, theoretical density 8.7 g/cm³, total energy -6.222 eV per atom. Number 3: volume 14.3 Å³ per atom, theoretical density 8.0 g/cm³, total energy -7.150 eV per atom.